No. 1
Density functional theory data (PBE) for crystalline Rb2LiCu2I6 at its relaxed geometry.

Summary:
For the energy, the calculation gives -30.0 eV for the cell shown.

Unit cell a=7.7303 b=8.3895 c=9.0618 alpha=116.41 beta=90.00 gamma=117.43
Last column: nearest neighbours and their distance in Å.
Element x y z (fractional)
I: 0.7928 0.1039 0.7835  1 Cu 2.52
I: 0.6889 0.8961 0.2165  1 Cu 2.52
I: 0.3111 0.1039 0.7835  1 Cu 2.52
I: 0.2072 0.8961 0.2165  1 Cu 2.52
I: 0.2495 0.4989 0.3519  1 Cu 2.49
I: 0.7505 0.5011 0.6481  1 Cu 2.49
Cu: 0.9380 0.8760 0.7361  3 I 2.49-2.52
Cu: 0.0620 0.1240 0.2639  3 I 2.49-2.52
Li: 0.5000 0.0000 0.5000  6 I 2.94-3.27
Rb: 0.2866 0.5732 0.7880  7 I 3.71-4.02
Rb: 0.7134 0.4268 0.2120  7 I 3.71-4.02



No. 2
Density functional theory data (PBE) for crystalline RbLiCuI4 at its relaxed geometry.

Summary:
For the energy, the calculation gives -37.3 eV for the cell shown.

Unit cell a=7.0888 b=7.3971 c=11.0947 alpha=90.00 beta=103.56 gamma=90.00
Last column: nearest neighbours and their distance in Å.
Element x y z (fractional)
I: 0.5190 0.2500 0.5067  1 Cu 2.54, 1 Li 2.74
I: 0.9431 0.4934 0.2708  1 Cu 2.57, 1 Li 2.82
I: 0.6476 0.2500 0.9026  1 Li 2.78, 1 Cu 2.79
I: 0.0569 0.9934 0.7292  1 Cu 2.57, 1 Li 2.82
I: 0.3524 0.7500 0.0974  1 Li 2.78, 1 Cu 2.79
I: 0.4810 0.7500 0.4933  1 Cu 2.54, 1 Li 2.74
I: 0.9431 0.0066 0.2708  1 Cu 2.57, 1 Li 2.82
I: 0.0569 0.5066 0.7292  1 Cu 2.57, 1 Li 2.82
Cu: 0.8046 0.2500 0.6945  4 I 2.54-2.79
Cu: 0.1954 0.7500 0.3055  4 I 2.54-2.79
Rb: 0.2190 0.2500 0.0537  8 I 3.80-4.00, 1 Li 4.22
Rb: 0.7810 0.7500 0.9463  8 I 3.80-4.00, 1 Li 4.22
Li: 0.6651 0.7500 0.3025  4 I 2.74-2.82
Li: 0.3349 0.2500 0.6975  4 I 2.74-2.82